Entry from the Alexandria database: a PBEsol-optimized structure of SiPbO2 (meta-GGA SCAN).

Cell and atoms, written as CIF:
```
data_SiPbO2
_chemical_formula_sum 'Si3 Pb3 O6'
_symmetry_space_group_name_H-M 'R -3 m'
_symmetry_Int_Tables_number 166
_symmetry_space_group_name_Hall '-R 3 2"'
_cell_length_a 2.8690
_cell_length_b 2.8690
_cell_length_c 28.9610
_cell_angle_alpha 90.00
_cell_angle_beta 90.00
_cell_angle_gamma 120.00
loop_
_atom_site_label
_atom_site_type_symbol
_atom_site_fract_x
_atom_site_fract_y
_atom_site_fract_z
Si1 Si 0.0000 0.0000 0.0000
Pb1 Pb 0.0000 0.0000 0.5000
O1 O 0.0000 0.0000 0.3630
```

Computed properties:
- mass density (g cm⁻³) = 6.4
- energy relative to the elements, uncorrected (eV per atom) = -1.607
- total magnetization (μB/cell) = 0.00
- excess energy over the best structure of this formula in the dataset (meV/atom) = 0
- energy (eV/atom) = -26.172

Entry from the Alexandria database: a PBEsol-optimized structure of Zn4SiTePbO10 (meta-GGA SCAN).

Cell and atoms, written as CIF:
```
data_Zn4SiTePbO10
_chemical_formula_sum 'Zn16 Si4 Te4 Pb4 O40'
_symmetry_space_group_name_H-M 'P n m a'
_symmetry_Int_Tables_number 62
_symmetry_space_group_name_Hall '-P 2ac 2n'
_cell_length_a 6.534
_cell_length_b 15.599
_cell_length_c 8.289
_cell_angle_alpha 90.00
_cell_angle_beta 90.00
_cell_angle_gamma 90.00
loop_
_atom_site_label
_atom_site_type_symbol
_atom_site_fract_x
_atom_site_fract_y
_atom_site_fract_z
Zn1 Zn 0.029 0.066 0.123
Zn2 Zn 0.214 0.136 0.771
Si1 Si 0.067 0.750 0.009
Te1 Te 0.000 0.000 0.500
Pb1 Pb 0.058 0.750 0.587
O1 O 0.026 0.586 0.328
O2 O 0.027 0.591 0.658
O3 O 0.085 0.166 0.983
O4 O 0.197 0.750 0.842
O5 O 0.206 0.516 0.007
O6 O 0.222 0.750 0.167
```

Computed properties:
- mass density (g cm⁻³) = 6.2
- energy relative to the elements, uncorrected (eV per atom) = -1.755
- total magnetization (μB/cell) = 0.00
- energy (eV/atom) = -15.839

Q: Look up the energy relative to the elements, uncorrected of the first one.
A: -1.607 eV per atom

Q: Which of these has the highest energy?
A: Zn4SiTePbO10